# La2ScRu, PBEsol geometry, DFT SCAN
# Energy of formation = 0.147 eV per atom
# Raw total energy = -33.6716 eV per atom
# Space group = I-4m2
# Offset from the most stable computed form = 52 meV per atom
# DOS(E_F) = 1.1615 states/eV per atom
data_La2ScRu
_chemical_formula_sum 'La2 Sc1 Ru1'
_symmetry_space_group_name_H-M 'P 1'
_symmetry_Int_Tables_number 1
_symmetry_space_group_name_Hall 'P 1'
_cell_length_a 5.955
_cell_length_b 5.955
_cell_length_c 5.955
_cell_angle_alpha 138.15
_cell_angle_beta 138.15
_cell_angle_gamma 60.68
loop_
_atom_site_label
_atom_site_type_symbol
_atom_site_fract_x
_atom_site_fract_y
_atom_site_fract_z
La1 La 0.000 0.000 0.000
La2 La 0.750 0.250 0.500
Sc1 Sc 0.250 0.750 0.500
Ru1 Ru 0.500 0.500 0.000